# Si4Au, relaxed, DFT PBE
data_Si4Au
_cell_length_a 4.816
_cell_length_b 4.816
_cell_length_c 4.816
_cell_angle_alpha 90.00
_cell_angle_beta 90.00
_cell_angle_gamma 90.00
_space_group_name_H-M_alt 'P m -3 m'
_space_group_IT_number 221
_space_group_name_Hall '-P 4 2 3'
loop_
_atom_site_label
_atom_site_fract_x
_atom_site_fract_y
_atom_site_fract_z
Si1 0.000 0.000 0.000
Si2 0.000 0.500 0.500
Au1 0.500 0.500 0.500
# * DOS(E_F): 0.81 states/eV per atom
# * uncorrected energy: -3.81 eV/atom
# * formation energy without anion corrections: 1.18 eV per atom

=====

# Si3Au, relaxed, DFT PBE
data_Si3Au
_cell_length_a 5.477
_cell_length_b 6.978
_cell_length_c 3.380
_cell_angle_alpha 90.00
_cell_angle_beta 90.00
_cell_angle_gamma 90.00
_space_group_name_H-M_alt 'C m m m'
_space_group_IT_number 65
_space_group_name_Hall '-C 2 2'
loop_
_atom_site_label
_atom_site_fract_x
_atom_site_fract_y
_atom_site_fract_z
Si1 0.000 0.000 0.000
Si2 0.250 0.250 0.500
Au1 0.000 0.500 0.000
# * DOS(E_F): 0.30 states/eV per atom
# * offset from the most stable computed form: 0.186 eV per atom
# * uncorrected energy: -4.44 eV/atom
# * formation energy without anion corrections: 0.45 eV per atom

=====

# Si2Au13, relaxed, DFT PBE
data_Si2Au13
_cell_length_a 5.137
_cell_length_b 6.566
_cell_length_c 8.644
_cell_angle_alpha 75.95
_cell_angle_beta 86.02
_cell_angle_gamma 80.21
_space_group_name_H-M_alt 'P -1'
_space_group_IT_number 2
loop_
_space_group_symop_operation_xyz
'x,y,z'
'-x,-y,-z'
loop_
_atom_site_label
_atom_site_fract_x
_atom_site_fract_y
_atom_site_fract_z
Si1 0.222 0.352 0.385
Au1 0.000 0.500 0.000
Au2 0.030 0.098 0.269
Au3 0.241 0.095 0.943
Au4 0.262 0.596 0.572
Au5 0.263 0.704 0.195
Au6 0.422 0.105 0.626
Au7 0.483 0.692 0.863
# * DOS(E_F): 0.35 states/eV per atom
# * uncorrected energy: -3.52 eV/atom
# * formation energy without anion corrections: 0.04 eV per atom

=====

# Si3Au2, relaxed, DFT PBE
data_Si3Au2
_cell_length_a 12.596
_cell_length_b 15.064
_cell_length_c 3.768
_cell_angle_alpha 90.00
_cell_angle_beta 90.00
_cell_angle_gamma 90.00
_space_group_name_H-M_alt 'F d d 2'
_space_group_IT_number 43
_space_group_name_Hall 'F 2 -2d'
loop_
_atom_site_label
_atom_site_fract_x
_atom_site_fract_y
_atom_site_fract_z
Si1 0.000 0.000 0.000
Si2 0.004 0.388 0.033
Au1 0.086 0.264 0.639
# * DOS(E_F): 0.27 states/eV per atom
# * uncorrected energy: -4.37 eV/atom
# * formation energy without anion corrections: 0.20 eV per atom

=====

# SiAu3, relaxed, DFT PBE
data_SiAu3
_cell_length_a 7.456
_cell_length_b 11.414
_cell_length_c 3.406
_cell_angle_alpha 90.00
_cell_angle_beta 90.00
_cell_angle_gamma 90.00
_space_group_name_H-M_alt 'C m c m'
_space_group_IT_number 63
_space_group_name_Hall '-C 2c 2'
loop_
_atom_site_label
_atom_site_fract_x
_atom_site_fract_y
_atom_site_fract_z
Si1 0.000 0.217 0.250
Au1 0.000 0.395 0.750
Au2 0.194 0.110 0.750
# * DOS(E_F): 0.31 states/eV per atom
# * uncorrected energy: -3.73 eV/atom
# * formation energy without anion corrections: 0.09 eV per atom

=====

# SiAu3, relaxed, DFT PBE
data_SiAu3
_cell_length_a 6.0377
_cell_length_b 6.0377
_cell_length_c 4.8971
_cell_angle_alpha 90.00
_cell_angle_beta 90.00
_cell_angle_gamma 120.00
_space_group_name_H-M_alt 'P 63'
_space_group_IT_number 173
loop_
_space_group_symop_operation_xyz
'x,y,z'
'x-y,x,z+1/2'
'-y,x-y,z'
'-x,-y,z+1/2'
'-x+y,-x,z'
'y,-x+y,z+1/2'
loop_
_atom_site_label
_atom_site_fract_x
_atom_site_fract_y
_atom_site_fract_z
Si1 0.3333 0.6667 0.0000
Au1 0.0044 0.2844 0.7414
# * DOS(E_F): 0.45 states/eV per atom
# * uncorrected energy: -3.74 eV/atom
# * formation energy without anion corrections: 0.07 eV per atom